CdW2Cl GGA-PBE relaxed; formation energy from raw total energies = 0.8272 eV/atom; offset from the most stable computed form = 57.5 kJ per mole of atoms; DOS(E_F) = 3.0 states/eV/f.u.
1.0
10.982 0.000 0.000
0.000 2.822 0.000
-2.339 0.000 4.512
Cd W Cl
2 4 2
Direct
0.000 0.000 0.000
0.500 0.500 0.000
0.229 0.000 0.730
0.271 0.500 0.270
0.729 0.500 0.730
0.771 0.000 0.270
0.000 0.500 0.500
0.500 0.000 0.500